Entry 1:
First-principles (PBE-GGA) data for crystalline Tc3P2 at its relaxed geometry, as listed in the Alexandria database.

Properties
density of states at the Fermi level: 0.522 states/eV per atom
symmetry: Pnma, No. 62
energy of formation: -247 kJ/mol of formula units
calculated total energy: -8.8964 eV per atom

Lattice parameters (Å, degrees): 2.9962 10.0276 9.0630 90.00 90.00 90.00
With the nearest neighbours (Å) after each atom.
Element x y z (fractional)
1 Tc 0.7500 0.0400 0.6376  5 P 2.36-2.53
2 Tc 0.2500 0.2708 0.7158  4 P 2.38-2.47
3 Tc 0.2500 0.9600 0.3624  5 P 2.36-2.53
4 Tc 0.7500 0.7292 0.2842  4 P 2.38-2.47
5 Tc 0.2500 0.8718 0.0596  5 P 2.36-2.48
6 Tc 0.2500 0.6282 0.5596  5 P 2.36-2.48
7 Tc 0.2500 0.5400 0.8624  5 P 2.36-2.53
8 Tc 0.7500 0.1282 0.9404  5 P 2.36-2.48
9 Tc 0.7500 0.3718 0.4404  5 P 2.36-2.48
10 Tc 0.7500 0.7708 0.7842  4 P 2.38-2.47
11 Tc 0.7500 0.4600 0.1376  5 P 2.36-2.53
12 Tc 0.2500 0.2292 0.2158  4 P 2.38-2.47
13 P 0.2500 0.1786 0.4738  7 Tc 2.38-2.53
14 P 0.7500 0.4635 0.6806  7 Tc 2.36-2.48
15 P 0.7500 0.8214 0.5262  7 Tc 2.38-2.53
16 P 0.2500 0.5365 0.3194  7 Tc 2.36-2.48
17 P 0.7500 0.0365 0.1806  7 Tc 2.36-2.48
18 P 0.7500 0.6786 0.0262  7 Tc 2.38-2.53
19 P 0.2500 0.9635 0.8194  7 Tc 2.36-2.48
20 P 0.2500 0.3214 0.9738  7 Tc 2.38-2.53

Entry 2:
First-principles (PBE-GGA) data for crystalline TcP at its relaxed geometry, as listed in the Alexandria database.

Properties
density of states at the Fermi level: 0.935 states/eV per atom
symmetry: Pnma, No. 62
energy of formation: -110 kJ/mol of formula units
calculated total energy: -8.4567 eV per atom

Lattice parameters (Å, degrees): 3.0723 6.2486 5.7167 90.00 90.00 90.00
With the nearest neighbours (Å) after each atom.
Element x y z (fractional)
1 P 0.7500 0.5593 0.6885  6 Tc 2.43-2.47
2 P 0.2500 0.0593 0.8115  6 Tc 2.43-2.47
3 P 0.7500 0.9407 0.1885  6 Tc 2.43-2.47
4 P 0.2500 0.4407 0.3115  6 Tc 2.43-2.47
5 Tc 0.2500 0.8002 0.4911  6 P 2.43-2.47
6 Tc 0.7500 0.1998 0.5089  6 P 2.43-2.47
7 Tc 0.2500 0.6998 0.9911  6 P 2.43-2.47
8 Tc 0.7500 0.3002 0.0089  6 P 2.43-2.47

Entry 3:
First-principles (PBE-GGA) data for crystalline TcP2 at its relaxed geometry, as listed in the Alexandria database.

Properties
density of states at the Fermi level: 0.596 states/eV per atom
symmetry: Pnnm, No. 58
energy of formation: -113 kJ/mol of formula units
calculated total energy: -7.4537 eV per atom

Lattice parameters (Å, degrees): 2.8257 5.3222 6.0699 90.00 90.00 90.00
With the nearest neighbours (Å) after each atom.
Element x y z (fractional)
1 P 0.5000 0.8374 0.6207  1 P 2.27, 3 Tc 2.40-2.46
2 P 0.0000 0.6626 0.1207  1 P 2.27, 3 Tc 2.40-2.46
3 P 0.5000 0.1626 0.3793  1 P 2.27, 3 Tc 2.40-2.46
4 P 0.0000 0.3374 0.8793  1 P 2.27, 3 Tc 2.40-2.46
5 Tc 0.0000 0.5000 0.5000  6 P 2.40-2.46
6 Tc 0.5000 0.0000 0.0000  6 P 2.40-2.46

Entry 4:
First-principles (PBE-GGA) data for crystalline TcP at its relaxed geometry, as listed in the Alexandria database.

Properties
density of states at the Fermi level: 0.608 states/eV per atom
symmetry: Imma, No. 74
energy of formation: -39 kJ/mol of formula units
calculated total energy: -8.0884 eV per atom

Lattice parameters (Å, degrees): 5.3044 5.3044 5.3044 147.69 136.28 55.40
With the nearest neighbours (Å) after each atom.
Element x y z (fractional)
1 P 0.8580 0.1080 0.7500  6 Tc 2.47-2.54
2 P 0.1420 0.8920 0.2500  6 Tc 2.47-2.54
3 Tc 0.6376 0.3876 0.2500  6 P 2.47-2.54
4 Tc 0.3624 0.6124 0.7500  6 P 2.47-2.54

Entry 5:
First-principles (PBE-GGA) data for crystalline TcP at its relaxed geometry, as listed in the Alexandria database.

Properties
density of states at the Fermi level: 0.428 states/eV per atom
symmetry: Cm, No. 8
energy of formation: -88 kJ/mol of formula units
calculated total energy: -8.3439 eV per atom

Lattice parameters (Å, degrees): 4.3781 4.3781 6.6117 80.40 80.40 40.85
With the nearest neighbours (Å) after each atom.
Element x y z (fractional)
1 Tc 0.0000 0.0000 0.3582  4 P 2.33-2.52
2 Tc 0.7631 0.7631 0.0608  7 P 2.40-2.56
3 Tc 0.6788 0.6788 0.6596  7 P 2.42-2.61
4 P 0.0612 0.0612 0.9714  6 Tc 2.40-2.61
5 P 0.2840 0.2840 0.3584  7 Tc 2.33-2.54
6 P 0.3795 0.3795 0.7584  5 Tc 2.42-2.56, 2 P 2.70

Entry 6:
First-principles (PBE-GGA) data for crystalline TcP at its relaxed geometry, as listed in the Alexandria database.

Properties
density of states at the Fermi level: 0.958 states/eV per atom
symmetry: C2/m, No. 12
energy of formation: -85 kJ/mol of formula units
calculated total energy: -8.3310 eV per atom

Lattice parameters (Å, degrees): 5.6353 3.0511 8.5116 90.00 131.14 90.00
With the nearest neighbours (Å) after each atom.
Element x y z (fractional)
1 Tc 0.3009 0.5000 0.0454  6 P 2.40-2.53
2 Tc 0.6991 0.0000 0.4546  6 P 2.40-2.53
3 Tc 0.3009 0.0000 0.5454  6 P 2.40-2.53
4 Tc 0.6991 0.5000 0.9546  6 P 2.40-2.53
5 P 0.7676 0.0000 0.2043  6 Tc 2.40-2.53, 2 P 2.67
6 P 0.2324 0.0000 0.7957  6 Tc 2.40-2.53, 2 P 2.67
7 P 0.2324 0.5000 0.2957  6 Tc 2.40-2.53, 2 P 2.67
8 P 0.7676 0.5000 0.7043  6 Tc 2.40-2.53, 2 P 2.67